Ho3ScCd7 PBE-GGA relaxed; E_form = -0.142 eV/atom; ρ = 7.968 g/cm3; magnetic moment = 0.0 μB per cell; total energy = -56.1 eV for the cell shown; space group = No. 63
1.0
1.666 -10.791 0.000
1.666 10.791 0.000
0.000 0.000 15.378
Ho Sc Cd
6 2 14
Direct
0.117 0.883 0.533
0.117 0.883 0.967
0.247 0.753 0.250
0.753 0.247 0.750
0.883 0.117 0.033
0.883 0.117 0.467
0.021 0.979 0.250
0.979 0.021 0.750
0.260 0.740 0.576
0.260 0.740 0.924
0.374 0.626 0.658
0.374 0.626 0.842
0.396 0.604 0.250
0.497 0.503 0.590
0.497 0.503 0.910
0.503 0.497 0.090
0.503 0.497 0.410
0.604 0.396 0.750
0.626 0.374 0.158
0.626 0.374 0.342
0.740 0.260 0.076
0.740 0.260 0.424